(1)
# PBEsol AgAsPbS3, relaxed
data_AgAsPbS3
_cell_length_a 5.9104
_cell_length_b 12.4569
_cell_length_c 7.2268
_cell_angle_alpha 90.00
_cell_angle_beta 91.23
_cell_angle_gamma 90.00
_space_group_name_H-M_alt 'P 1 21/c 1'
_space_group_IT_number 14
loop_
_space_group_symop_operation_xyz
'x,y,z'
'-x,-y,-z'
'-x,y+1/2,-z+1/2'
'x,-y+1/2,z+1/2'
loop_
_atom_site_label
_atom_site_type_symbol
_atom_site_fract_x
_atom_site_fract_y
_atom_site_fract_z
Ag1 Ag 0.1994 0.2345 0.3831
As1 As 0.2829 0.5939 0.8545
Pb1 Pb 0.2407 0.5859 0.3336
S1 S 0.0977 0.1280 0.6503
S2 S 0.2810 0.0519 0.1616
S3 S 0.3795 0.7184 0.6395
# **Size of the total moment**: 0.0 μB per formula unit
# **Total DFT energy (no corrections)**: -4.52 eV per atom



(2)
# PBEsol Ag3AsPd, relaxed
data_Ag3AsPd
_cell_length_a 4.8762
_cell_length_b 4.8762
_cell_length_c 4.8762
_cell_angle_alpha 90.00
_cell_angle_beta 90.00
_cell_angle_gamma 90.00
_space_group_name_H-M_alt 'P m -3 m'
_space_group_IT_number 221
_space_group_name_Hall '-P 4 2 3'
loop_
_atom_site_label
_atom_site_type_symbol
_atom_site_fract_x
_atom_site_fract_y
_atom_site_fract_z
Ag1 Ag 0.0000 0.0000 0.5000
As1 As 0.5000 0.5000 0.5000
Pd1 Pd 0.0000 0.0000 0.0000
# **Energy relative to the elements**: 1023 meV per atom
# **Size of the total moment**: 0.0 μB per formula unit
# **Total DFT energy (no corrections)**: -3.18 eV per atom



(3)
# PBEsol AgAsPt, relaxed
data_AgAsPt
_cell_length_a 6.0800
_cell_length_b 6.0800
_cell_length_c 6.0800
_cell_angle_alpha 90.00
_cell_angle_beta 90.00
_cell_angle_gamma 90.00
_space_group_name_H-M_alt 'F -4 3 m'
_space_group_IT_number 216
_space_group_name_Hall 'F -4 2 3'
loop_
_atom_site_label
_atom_site_type_symbol
_atom_site_fract_x
_atom_site_fract_y
_atom_site_fract_z
Ag1 Ag 0.0000 0.0000 0.0000
As1 As 0.0000 0.0000 0.5000
Pt1 Pt 0.2500 0.2500 0.2500
# **Energy relative to the elements**: 43 meV per atom
# **Size of the total moment**: 0.0 μB per formula unit
# **Total DFT energy (no corrections)**: -5.08 eV per atom



(4)
# PBEsol Ag2AsPt2, relaxed
data_Ag2AsPt2
_cell_length_a 6.3725
_cell_length_b 6.3725
_cell_length_c 4.2231
_cell_angle_alpha 90.00
_cell_angle_beta 90.00
_cell_angle_gamma 90.00
_space_group_name_H-M_alt 'P 4/m b m'
_space_group_IT_number 127
_space_group_name_Hall '-P 4 2ab'
loop_
_atom_site_label
_atom_site_type_symbol
_atom_site_fract_x
_atom_site_fract_y
_atom_site_fract_z
Ag1 Ag 0.1549 0.3451 0.0000
As1 As 0.0000 0.0000 0.5000
Pt1 Pt 0.1503 0.6503 0.5000
# **Energy relative to the elements**: 36 meV per atom
# **Size of the total moment**: 0.0 μB per formula unit
# **Total DFT energy (no corrections)**: -5.10 eV per atom



(5)
# PBEsol AgAsPt, relaxed
data_AgAsPt
_cell_length_a 4.4027
_cell_length_b 4.4027
_cell_length_c 2.9205
_cell_angle_alpha 90.00
_cell_angle_beta 90.00
_cell_angle_gamma 120.00
_space_group_name_H-M_alt 'P -6 m 2'
_space_group_IT_number 187
_space_group_name_Hall 'P -6 2'
loop_
_atom_site_label
_atom_site_type_symbol
_atom_site_fract_x
_atom_site_fract_y
_atom_site_fract_z
Ag1 Ag 0.0000 0.0000 0.0000
As1 As 0.3333 0.6667 0.5000
Pt1 Pt 0.6667 0.3333 0.5000
# **Energy relative to the elements**: -45 meV per atom
# **Size of the total moment**: 0.0 μB per formula unit
# **Total DFT energy (no corrections)**: -5.17 eV per atom



(6)
# PBEsol AgAs2Pt2, relaxed
data_AgAs2Pt2
_cell_length_a 4.5077
_cell_length_b 4.5077
_cell_length_c 8.9463
_cell_angle_alpha 90.00
_cell_angle_beta 90.00
_cell_angle_gamma 90.00
_space_group_name_H-M_alt 'I 4/m m m'
_space_group_IT_number 139
_space_group_name_Hall '-I 4 2'
loop_
_atom_site_label
_atom_site_type_symbol
_atom_site_fract_x
_atom_site_fract_y
_atom_site_fract_z
Ag1 Ag 0.0000 0.0000 0.0000
As1 As 0.0000 0.0000 0.3639
Pt1 Pt 0.0000 0.5000 0.2500
# **Energy relative to the elements**: 12 meV per atom
# **Size of the total moment**: 0.0 μB per formula unit
# **Total DFT energy (no corrections)**: -5.48 eV per atom



(7)
# PBEsol AgAsPt, relaxed
data_AgAsPt
_cell_length_a 3.3491
_cell_length_b 3.3491
_cell_length_c 9.0453
_cell_angle_alpha 90.00
_cell_angle_beta 90.00
_cell_angle_gamma 90.00
_space_group_name_H-M_alt 'I 4 m m'
_space_group_IT_number 107
_space_group_name_Hall 'I 4 -2'
loop_
_atom_site_label
_atom_site_type_symbol
_atom_site_fract_x
_atom_site_fract_y
_atom_site_fract_z
Ag1 Ag 0.0000 0.0000 0.0000
As1 As 0.0000 0.0000 0.7037
Pt1 Pt 0.0000 0.0000 0.3109
# **Energy relative to the elements**: -61 meV per atom
# **Size of the total moment**: 0.0 μB per formula unit
# **Total DFT energy (no corrections)**: -5.19 eV per atom



(8)
# PBEsol ZnAg2AsPt, relaxed
data_ZnAg2AsPt
_cell_length_a 5.1560
_cell_length_b 5.1560
_cell_length_c 4.4685
_cell_angle_alpha 90.00
_cell_angle_beta 90.00
_cell_angle_gamma 90.00
_space_group_name_H-M_alt 'P 4/m m m'
_space_group_IT_number 123
_space_group_name_Hall '-P 4 2'
loop_
_atom_site_label
_atom_site_type_symbol
_atom_site_fract_x
_atom_site_fract_y
_atom_site_fract_z
Zn1 Zn 0.0000 0.0000 0.0000
Ag1 Ag 0.0000 0.5000 0.5000
As1 As 0.5000 0.5000 0.0000
Pt1 Pt 0.5000 0.5000 0.5000
# **Energy relative to the elements**: 546 meV per atom
# **Size of the total moment**: 0.0 μB per formula unit
# **Total DFT energy (no corrections)**: -3.51 eV per atom